# MgGaIr2

A relaxed MgGaIr2 crystal (PBE-GGA, OQMD).

crystal system	hexagonal
space-group type	P6_3/mmc, No. 194

Lattice parameters (Å, degrees): 4.3025 4.3025 8.1072 90.00 90.00 120.00
Element x y z (fractional)
Ga1 0.0000 0.0000 0.0000
Ga2 0.0000 0.0000 0.5000
Ir1 0.6667 0.3333 0.0873
Ir2 0.6667 0.3333 0.4127
Ir3 0.3333 0.6667 0.5873
Ir4 0.3333 0.6667 0.9127
Mg1 0.3333 0.6667 0.2500
Mg2 0.6667 0.3333 0.7500


# MgGaIr2

A relaxed MgGaIr2 crystal (PBE-GGA, OQMD).

crystal system	tetragonal
space-group type	P4/mmm, No. 123

Lattice parameters (Å, degrees): 4.3314 4.3314 3.0780 90.00 90.00 90.00
Element x y z (fractional)
Ga1 0.0000 0.0000 0.5000
Ir1 0.5000 0.0000 0.0000
Ir2 0.0000 0.5000 0.0000
Mg1 0.5000 0.5000 0.5000


# Mg2GaIr2

A relaxed Mg2GaIr2 crystal (PBE-GGA, OQMD).

crystal system	tetragonal
space-group type	P4/mbm, No. 127

Lattice parameters (Å, degrees): 6.3823 6.3823 4.2014 90.00 90.00 90.00
Element x y z (fractional)
Ga1 0.0000 0.0000 0.0000
Ga2 0.5000 0.5000 0.0000
Ir1 0.6401 0.1401 0.0000
Ir2 0.1401 0.3599 0.0000
Ir3 0.8599 0.6401 0.0000
Ir4 0.3599 0.8599 0.0000
Mg1 0.3356 0.1644 0.5000
Mg2 0.8356 0.3356 0.5000
Mg3 0.1644 0.6644 0.5000
Mg4 0.6644 0.8356 0.5000


# MgGa2Ir3

A relaxed MgGa2Ir3 crystal (PBE-GGA, OQMD).

crystal system	tetragonal
space-group type	P4/mmm, No. 123

Lattice parameters (Å, degrees): 3.0667 3.0667 9.1997 90.00 90.00 90.00
Element x y z (fractional)
Ga1 0.5000 0.5000 0.1694
Ga2 0.5000 0.5000 0.8306
Ir1 0.0000 0.0000 0.0000
Ir2 0.0000 0.0000 0.3225
Ir3 0.0000 0.0000 0.6775
Mg1 0.5000 0.5000 0.5000


# MgGa2Ir2

A relaxed MgGa2Ir2 crystal (PBE-GGA, OQMD).

crystal system	tetragonal
space-group type	P4/mbm, No. 127

Lattice parameters (Å, degrees): 7.3053 7.3053 2.8965 90.00 90.00 90.00
Element x y z (fractional)
Ga1 0.6349 0.1349 0.0000
Ga2 0.1349 0.3651 0.0000
Ga3 0.8651 0.6349 0.0000
Ga4 0.3651 0.8651 0.0000
Ir1 0.3374 0.1626 0.5000
Ir2 0.8374 0.3374 0.5000
Ir3 0.1626 0.6626 0.5000
Ir4 0.6626 0.8374 0.5000
Mg1 0.0000 0.0000 0.0000
Mg2 0.5000 0.5000 0.0000


# Na2MgZnGa2Ir2

A relaxed Na2MgZnGa2Ir2 crystal (PBE-GGA, OQMD).

crystal system	tetragonal
space-group type	P-4m2, No. 115

Lattice parameters (Å, degrees): 4.4797 4.4797 6.3579 90.00 90.00 90.00
Element x y z (fractional)
Ga1 0.0000 0.0000 0.0000
Ga2 0.5000 0.5000 0.5000
Ir1 0.0000 0.5000 0.2580
Ir2 0.5000 0.0000 0.7420
Mg1 0.5000 0.5000 0.0000
Na1 0.5000 0.0000 0.2548
Na2 0.0000 0.5000 0.7452
Zn1 0.0000 0.0000 0.5000


# Nd3Mg3GaIr2

A relaxed Nd3Mg3GaIr2 crystal (PBE-GGA, OQMD).

crystal system	hexagonal
space-group type	P-62m, No. 189

Lattice parameters (Å, degrees): 7.4653 7.4653 4.2153 90.00 90.00 120.00
Element x y z (fractional)
Ga1 0.0000 0.0000 0.0000
Ir1 0.6667 0.3333 0.5000
Ir2 0.3333 0.6667 0.5000
Mg1 0.7514 0.0000 0.5000
Mg2 0.2486 0.2486 0.5000
Mg3 0.0000 0.7514 0.5000
Nd1 0.4186 0.0000 0.0000
Nd2 0.0000 0.4186 0.0000
Nd3 0.5814 0.5814 0.0000


# Nd3Mg3Ga2Ir

A relaxed Nd3Mg3Ga2Ir crystal (PBE-GGA, OQMD).

crystal system	hexagonal
space-group type	P-62m, No. 189

Lattice parameters (Å, degrees): 7.4404 7.4404 4.4483 90.00 90.00 120.00
Element x y z (fractional)
Ga1 0.6667 0.3333 0.0000
Ga2 0.3333 0.6667 0.0000
Ir1 0.0000 0.0000 0.5000
Mg1 0.7665 0.0000 0.0000
Mg2 0.2335 0.2335 0.0000
Mg3 0.0000 0.7665 0.0000
Nd1 0.4036 0.0000 0.5000
Nd2 0.0000 0.4036 0.5000
Nd3 0.5964 0.5964 0.5000


# MgGaIrPb

A relaxed MgGaIrPb crystal (PBE-GGA, OQMD).

crystal system	cubic
space-group type	F-43m, No. 216

Lattice parameters (Å, degrees): 4.7184 4.7184 4.7184 60.00 60.00 60.00
Element x y z (fractional)
Ga1 0.0000 0.0000 0.0000
Ir1 0.2500 0.2500 0.2500
Mg1 0.7500 0.7500 0.7500
Pb1 0.5000 0.5000 0.5000


# PrMg4GaIr2

A relaxed PrMg4GaIr2 crystal (PBE-GGA, OQMD).

crystal system	orthorhombic
space-group type	Amm2, No. 38

Lattice parameters (Å, degrees): 7.2268 7.3968 7.3968 36.33 90.00 90.00
Element x y z (fractional)
Ga1 0.5000 0.8945 0.8945
Ir1 0.5000 0.4696 0.4696
Ir2 0.5000 0.7226 0.7226
Mg1 0.2920 0.3099 0.3099
Mg2 0.7080 0.3099 0.3099
Mg3 0.2024 0.5951 0.5951
Mg4 0.7976 0.5951 0.5951
Pr1 0.5000 0.1034 0.1034


# Pr3Mg3Ga2Ir

A relaxed Pr3Mg3Ga2Ir crystal (PBE-GGA, OQMD).

crystal system	hexagonal
space-group type	P-62m, No. 189

Lattice parameters (Å, degrees): 7.4761 7.4761 4.4747 90.00 90.00 120.00
Element x y z (fractional)
Ga1 0.6667 0.3333 0.0000
Ga2 0.3333 0.6667 0.0000
Ir1 0.0000 0.0000 0.5000
Mg1 0.2324 0.0000 0.0000
Mg2 0.0000 0.2324 0.0000
Mg3 0.7676 0.7676 0.0000
Pr1 0.5961 0.0000 0.5000
Pr2 0.4039 0.4039 0.5000
Pr3 0.0000 0.5961 0.5000


# MgScGa2Ir4

A relaxed MgScGa2Ir4 crystal (PBE-GGA, OQMD).

crystal system	tetragonal
space-group type	P4/mmm, No. 123

Lattice parameters (Å, degrees): 4.3765 4.3765 6.2152 90.00 90.00 90.00
Element x y z (fractional)
Ga1 0.5000 0.5000 0.0000
Ga2 0.0000 0.0000 0.5000
Ir1 0.5000 0.0000 0.2452
Ir2 0.0000 0.5000 0.2452
Ir3 0.5000 0.0000 0.7548
Ir4 0.0000 0.5000 0.7548
Mg1 0.0000 0.0000 0.0000
Sc1 0.5000 0.5000 0.5000


| no. | electronic total energy (eV per cell) |
| --- | --- |
| 1 | -46.77 |
| 2 | -24.13 |
| 3 | -52.46 |
| 4 | -36.92 |
| 5 | -55.37 |
| 6 | -30.37 |
| 7 | -44.38 |
| 8 | -38.39 |
| 9 | -16.78 |
| 10 | -31.66 |
| 11 | -38.34 |
| 12 | -54.46 |